Entry from Alexandria: an optimized crystal structure of RuRh (PBEsol).

Its total energy is -7.838 eV/atom. For the calculated volume, the calculation gives 19.6 A^3/atom.

The space group is P6_3mc (No. 186) and the conventional cell measures 3.7920, 3.7920 and 6.3110 Å, with angles of 90.00, 90.00 and 120.00 degrees. The distinct sites, in fractional coordinates, are Ru at (0.3333, 0.6667, 0.0000) and Rh at (0.3333, 0.6667, 0.3720).

=====

Entry from Alexandria: an optimized crystal structure of ZrZn2Ru (PBEsol).

Its total energy is -5.898 eV/atom. For the calculated volume, the calculation gives 15.2 A^3/atom.

The space group is I4/mmm (No. 139) and the conventional cell measures 3.8584, 3.8584 and 8.1673 Å, with angles of 90.00, 90.00 and 90.00 degrees. The distinct sites, in fractional coordinates, are Zr at (0.0000, 0.0000, 0.0000), Zn at (0.0000, 0.5000, 0.2500) and Ru at (0.0000, 0.0000, 0.5000).

=====

Entry from Alexandria: an optimized crystal structure of K3CaP2HO8 (PBEsol).

Its total energy is -6.547 eV/atom. For the calculated volume, the calculation gives 13.9 A^3/atom.

The space group is C2/m (No. 12) and the conventional cell measures 9.8664, 5.7207 and 7.3942 Å, with angles of 90.00, 94.31 and 90.00 degrees. The distinct sites, in fractional coordinates, are K at (0.0000, 0.0000, 0.0000), K at (0.1683, 0.5000, 0.6876), Ca at (0.0000, 0.0000, 0.5000), P at (0.1616, 0.5000, 0.2472), H at (0.0000, 0.5000, 0.0000), O at (0.0999, 0.2790, 0.3299), O at (0.1218, 0.5000, 0.0370) and O at (0.1824, 0.0000, 0.7212).

=====

Entry from Alexandria: an optimized crystal structure of Re2SiAu (PBEsol).

For the calculated volume, the calculation gives 14.8 A^3/atom. The energy relative to the elements, uncorrected is 0.17 eV per atom.

The space group is Immm (No. 71) and the conventional cell measures 2.8770, 4.3518 and 9.4665 Å, with angles of 90.00, 90.00 and 90.00 degrees. The distinct sites, in fractional coordinates, are Re at (0.0000, 0.0000, 0.2091), Si at (0.0000, 0.5000, 0.5000) and Au at (0.0000, 0.5000, 0.0000).

=====

Entry from Alexandria: an optimized crystal structure of BeAsW3 (PBEsol).

Its total energy is -8.975 eV/atom. For the calculated volume, the calculation gives 14.9 A^3/atom.

The space group is Pm-3m (No. 221) and the conventional cell measures 4.2118, 4.2118 and 4.2118 Å, with angles of 90.00, 90.00 and 90.00 degrees. The distinct sites, in fractional coordinates, are Be at (0.0000, 0.0000, 0.0000), As at (0.5000, 0.5000, 0.5000) and W at (0.0000, 0.0000, 0.5000).

=====

Entry from Alexandria: an optimized crystal structure of LiPPdRh2 (PBEsol).

Its total energy is -5.281 eV/atom. For the calculated volume, the calculation gives 13.5 A^3/atom.

The space group is P4/mmm (No. 123) and the conventional cell measures 4.0971, 4.0971 and 4.0130 Å, with angles of 90.00, 90.00 and 90.00 degrees. The distinct sites, in fractional coordinates, are Li at (0.0000, 0.0000, 0.0000), P at (0.5000, 0.5000, 0.5000), Pd at (0.0000, 0.0000, 0.5000) and Rh at (0.0000, 0.5000, 0.0000).

=====

> Which of these has the lowest calculated volume?

LiPPdRh2

=====

> calculated volume of number 6 (LiPPdRh2)?

13.5 A^3/atom

=====

What did the fifth record say?
Entry from Alexandria: an optimized crystal structure of BeAsW3 (PBEsol).

Its total energy is -8.975 eV/atom. For the calculated volume, the calculation gives 14.9 A^3/atom.

The space group is Pm-3m (No. 221) and the conventional cell measures 4.2118, 4.2118 and 4.2118 Å, with angles of 90.00, 90.00 and 90.00 degrees. The distinct sites, in fractional coordinates, are Be at (0.0000, 0.0000, 0.0000), As at (0.5000, 0.5000, 0.5000) and W at (0.0000, 0.0000, 0.5000).